1.
Computed, not measured: a relaxed SmReB4 crystal at the PBE-GGA level of DFT.

It has space group P6/mmm (No. 191), with a = 3.1520 Å, b = 3.1520 Å, c = 7.2206 Å, α = 90.00°, β = 90.00° and γ = 120.00°. The inequivalent atoms are Sm at (0.0000, 0.0000, 0.0000), Re at (0.0000, 0.0000, 0.5000) and B at (0.3333, 0.6667, 0.2824).

The magnetization is 0.004 μB/f.u.

***

2.
Computed, not measured: a relaxed ReSnB crystal at the PBE-GGA level of DFT.

It has space group F-43m (No. 216), with a = 5.622 Å, b = 5.622 Å, c = 5.622 Å, α = 90.00°, β = 90.00° and γ = 90.00°. The inequivalent atoms are Re at (0.000, 0.000, 0.000), Sn at (0.000, 0.000, 0.500) and B at (0.250, 0.250, 0.250).

The magnetization is 0.001 μB/f.u.

***

3.
Computed, not measured: a relaxed SrReB crystal at the PBE-GGA level of DFT.

It has space group F-43m (No. 216), with a = 6.682 Å, b = 6.682 Å, c = 6.682 Å, α = 90.00°, β = 90.00° and γ = 90.00°. The inequivalent atoms are Sr at (0.000, 0.000, 0.000), Re at (0.250, 0.250, 0.250) and B at (0.250, 0.250, 0.750).

The magnetization is 2.476 μB/f.u.

***

4.
Computed, not measured: a relaxed SrReB crystal at the PBE-GGA level of DFT.

It has space group F-43m (No. 216), with a = 6.033 Å, b = 6.033 Å, c = 6.033 Å, α = 90.00°, β = 90.00° and γ = 90.00°. The inequivalent atoms are Sr at (0.000, 0.000, 0.000), Re at (0.000, 0.000, 0.500) and B at (0.250, 0.250, 0.750).

The magnetization is 1.129 μB/f.u.

***

5.
Computed, not measured: a relaxed TaReB crystal at the PBE-GGA level of DFT.

It has space group F-43m (No. 216), with a = 5.802 Å, b = 5.802 Å, c = 5.802 Å, α = 90.00°, β = 90.00° and γ = 90.00°. The inequivalent atoms are Ta at (0.000, 0.000, 0.000), Re at (0.250, 0.250, 0.750) and B at (0.000, 0.000, 0.500).

The magnetization is 0.002 μB/f.u.

***

6.
Computed, not measured: a relaxed TaReB crystal at the PBE-GGA level of DFT.

It has space group Pnma (No. 62), with a = 6.008 Å, b = 4.276 Å, c = 6.249 Å, α = 90.00°, β = 90.00° and γ = 90.00°. The inequivalent atoms are Ta at (0.036, 0.250, 0.164), Re at (0.137, 0.750, 0.396) and B at (0.220, 0.250, 0.551).

The magnetization is 0.002 μB/f.u.

***

7.
Computed, not measured: a relaxed TaReB crystal at the PBE-GGA level of DFT.

It has space group Pnma (No. 62), with a = 6.408 Å, b = 3.158 Å, c = 7.550 Å, α = 90.00°, β = 90.00° and γ = 90.00°. The inequivalent atoms are Ta at (0.017, 0.250, 0.174), Re at (0.156, 0.250, 0.559) and B at (0.226, 0.750, 0.351).

The magnetization is 0.000 μB/f.u.

***

8.
Computed, not measured: a relaxed TaReB crystal at the PBE-GGA level of DFT.

It has space group F-43m (No. 216), with a = 5.844 Å, b = 5.844 Å, c = 5.844 Å, α = 90.00°, β = 90.00° and γ = 90.00°. The inequivalent atoms are Ta at (0.000, 0.000, 0.000), Re at (0.250, 0.250, 0.250) and B at (0.250, 0.250, 0.750).

The magnetization is 0.002 μB/f.u.

***

Which DFT total energy belongs to each record? In order, -7.4961 -6.8098 -4.0995 -5.5022 -9.2633 -10.3764 -10.7825 -9.0504 eV/atom.
Which excess energy over the best structure of this formula in the dataset belongs to each record? In order, 0.0 0.0 1402.7 0.0 1519.2 406.1 0.0 1732.1 meV per atom.